Record 1
Computed, not measured: a geometry-optimized PmCdGe2Pd2 structure at the PBE-GGA level of DFT.

Calculated values
V = 116.8 Å³/f.u.
calculated formation energy = -357.0 kJ/mol of formula units
VASP energy = -0.178 hartree per atom
magnetic moment = 0.000 μB per formula unit

Unit cell a=4.3720 b=4.3720 c=7.0534 alpha=90.00 beta=90.00 gamma=120.00
With the nearest neighbours (Å) after each atom.
Positions (direct):
Pm (0.0000, 0.0000, 0.0000)  6 Ge 3.11, 6 Pd 3.37
Cd (0.0000, 0.0000, 0.5000)  6 Pd 2.83, 6 Ge 3.05
Ge (0.3333, 0.6667, 0.7430)  3 Pd 2.56
Ge (0.6667, 0.3333, 0.2570)  3 Pd 2.56
Pd (0.3333, 0.6667, 0.3171)  3 Ge 2.56, 3 Cd 2.83
Pd (0.6667, 0.3333, 0.6829)  3 Ge 2.56, 3 Cd 2.83


Record 2
Computed, not measured: a geometry-optimized PmCd2GePd2 structure at the PBE-GGA level of DFT.

Calculated values
V = 146.7 Å³/f.u.
calculated formation energy = -111.3 kJ/mol of formula units
VASP energy = -0.139 hartree per atom
magnetic moment = 0.000 μB per formula unit

Unit cell a=6.4936 b=6.4936 c=6.4936 alpha=132.35 beta=132.35 gamma=69.68
With the nearest neighbours (Å) after each atom.
Positions (direct):
Pm (0.0000, 0.0000, 0.0000)  2 Pd 2.96
Cd (0.2500, 0.7500, 0.5000)  4 Pd 2.64
Cd (0.7500, 0.2500, 0.5000)  4 Pd 2.64
Ge (0.5000, 0.5000, 0.0000)  2 Pd 2.37
Pd (0.2780, 0.2780, 0.0000)  1 Ge 2.37, 4 Cd 2.64
Pd (0.7220, 0.7220, 0.0000)  1 Ge 2.37, 4 Cd 2.64


Record 3
Computed, not measured: a geometry-optimized PmCdGe2Pd5 structure at the PBE-GGA level of DFT.

Calculated values
V = 165.0 Å³/f.u.
calculated formation energy = -456.9 kJ/mol of formula units
VASP energy = -0.186 hartree per atom
magnetic moment = 0.000 μB per formula unit

Unit cell a=4.3091 b=4.3091 c=8.8870 alpha=90.00 beta=90.00 gamma=90.00
With the nearest neighbours (Å) after each atom.
Positions (direct):
Pm (0.0000, 0.0000, 0.0000)  12 Pd 2.99-3.05
Cd (0.0000, 0.0000, 0.5000)  8 Pd 3.21, 8 Ge 3.28
Ge (0.5000, 0.5000, 0.3649)  1 Ge 2.40, 4 Pd 2.45
Ge (0.5000, 0.5000, 0.6351)  1 Ge 2.40, 4 Pd 2.45
Pd (0.0000, 0.5000, 0.2328)  2 Ge 2.45
Pd (0.0000, 0.5000, 0.7672)  2 Ge 2.45
Pd (0.5000, 0.0000, 0.2328)  2 Ge 2.45
Pd (0.5000, 0.0000, 0.7672)  2 Ge 2.45
Pd (0.5000, 0.5000, 0.0000)  8 Pd 2.99, 4 Pm 3.05, 2 Ge 3.24